This record from the Alexandria database describes a relaxed CrPbO3 crystal. The functional is GGA+U.

The space group is P2_1/c (No. 14) and the conventional cell measures 7.2873, 5.1566 and 7.1421 Å, with angles of 90.00, 101.18 and 90.00 degrees. The asymmetric unit holds Cr at (0.0800, 0.2476, 0.4437), Pb at (0.3532, 0.7278, 0.3330), O at (0.0520, 0.0799, 0.6770), O at (0.1696, 0.5864, 0.5552) and O at (0.3181, 0.1383, 0.4448).

As for the total magnetization: 2.0 μB per formula unit. For the energy, the calculation gives -6.604 eV/atom.